# 1
# YTaRu2, relaxed, DFT GGA-PBE
# ΔH_f (0 K): -0.340 eV per atom
# Total magnetic moment: 0.000 Bohr magnetons per cell
# Total energy: -9.56 eV per atom
data_YTaRu2
_symmetry_space_group_name_H-M 'P 1'
_symmetry_Int_Tables_number 1
_symmetry_space_group_name_Hall 'P 1'
_cell_length_a 4.6311
_cell_length_b 4.6311
_cell_length_c 4.6311
_cell_angle_alpha 60.00
_cell_angle_beta 60.00
_cell_angle_gamma 60.00
loop_
_atom_site_label
_atom_site_type_symbol
_atom_site_fract_x
_atom_site_fract_y
_atom_site_fract_z
Ru1 Ru 0.2500 0.2500 0.2500
Ru2 Ru 0.7500 0.7500 0.7500
Y1 Y 0.0000 0.0000 0.0000
Ta1 Ta 0.5000 0.5000 0.5000

# 2
# YTa2Ru, relaxed, DFT GGA-PBE
# Excess energy over the best structure of this formula in the dataset: 384 meV/atom
# ΔH_f (0 K): 0.333 eV per atom
# Total magnetic moment: 0.000 Bohr magnetons per cell
# Total energy: -9.53 eV per atom
data_YTa2Ru
_symmetry_space_group_name_H-M 'P 1'
_symmetry_Int_Tables_number 1
_symmetry_space_group_name_Hall 'P 1'
_cell_length_a 3.0174
_cell_length_b 4.6189
_cell_length_c 5.5073
_cell_angle_alpha 90.00
_cell_angle_beta 90.00
_cell_angle_gamma 90.00
loop_
_atom_site_label
_atom_site_type_symbol
_atom_site_fract_x
_atom_site_fract_y
_atom_site_fract_z
Y1 Y 0.5000 0.5000 0.2500
Ru1 Ru 0.5000 0.5000 0.7500
Ta1 Ta 0.0000 0.0000 0.5125
Ta2 Ta 0.0000 0.0000 0.9875

# 3
# YTaRu2, relaxed, DFT GGA-PBE
# ΔH_f (0 K): -0.022 eV per atom
# Total magnetic moment: 0.000 Bohr magnetons per cell
# Total energy: -9.24 eV per atom
data_YTaRu2
_symmetry_space_group_name_H-M 'P 1'
_symmetry_Int_Tables_number 1
_symmetry_space_group_name_Hall 'P 1'
_cell_length_a 4.5055
_cell_length_b 4.5055
_cell_length_c 5.7769
_cell_angle_alpha 77.65
_cell_angle_beta 77.65
_cell_angle_gamma 41.81
loop_
_atom_site_label
_atom_site_type_symbol
_atom_site_fract_x
_atom_site_fract_y
_atom_site_fract_z
Y1 Y 0.2500 0.2500 0.2500
Ru1 Ru 0.4864 0.4864 0.5528
Ru2 Ru 0.0136 0.0136 0.9472
Ta1 Ta 0.7500 0.7500 0.7500

# 4
# YTaRu3, relaxed, DFT GGA-PBE
# Excess energy over the best structure of this formula in the dataset: 0 meV/atom
# ΔH_f (0 K): 0.619 eV per atom
# Total magnetic moment: 0.000 Bohr magnetons per cell
# Total energy: -8.61 eV per atom
data_YTaRu3
_symmetry_space_group_name_H-M 'P 1'
_symmetry_Int_Tables_number 1
_symmetry_space_group_name_Hall 'P 1'
_cell_length_a 4.7320
_cell_length_b 4.7320
_cell_length_c 4.7320
_cell_angle_alpha 90.00
_cell_angle_beta 90.00
_cell_angle_gamma 90.00
loop_
_atom_site_label
_atom_site_type_symbol
_atom_site_fract_x
_atom_site_fract_y
_atom_site_fract_z
Ru1 Ru 0.0000 0.0000 0.5000
Ru2 Ru 0.0000 0.5000 0.0000
Ru3 Ru 0.5000 0.0000 0.0000
Ta1 Ta 0.0000 0.0000 0.0000
Y1 Y 0.5000 0.5000 0.5000

# 5
# YTa2Ru, relaxed, DFT GGA-PBE
# Excess energy over the best structure of this formula in the dataset: 7 meV/atom
# ΔH_f (0 K): -0.044 eV per atom
# Total magnetic moment: 0.000 Bohr magnetons per cell
# Total energy: -9.90 eV per atom
data_YTa2Ru
_symmetry_space_group_name_H-M 'P 1'
_symmetry_Int_Tables_number 1
_symmetry_space_group_name_Hall 'P 1'
_cell_length_a 5.7449
_cell_length_b 5.7449
_cell_length_c 5.7449
_cell_angle_alpha 147.10
_cell_angle_beta 131.60
_cell_angle_gamma 59.77
loop_
_atom_site_label
_atom_site_type_symbol
_atom_site_fract_x
_atom_site_fract_y
_atom_site_fract_z
Y1 Y 0.7500 0.2500 0.5000
Ru1 Ru 0.2500 0.7500 0.5000
Ta1 Ta 0.4802 0.4802 0.0000
Ta2 Ta 0.0198 0.0198 0.0000

# 6
# YTa2Ru, relaxed, DFT GGA-PBE
# Excess energy over the best structure of this formula in the dataset: 307 meV/atom
# ΔH_f (0 K): 0.256 eV per atom
# Total magnetic moment: 0.000 Bohr magnetons per cell
# Total energy: -9.61 eV per atom
data_YTa2Ru
_symmetry_space_group_name_H-M 'P 1'
_symmetry_Int_Tables_number 1
_symmetry_space_group_name_Hall 'P 1'
_cell_length_a 4.6987
_cell_length_b 4.6987
_cell_length_c 4.6987
_cell_angle_alpha 60.00
_cell_angle_beta 60.00
_cell_angle_gamma 60.00
loop_
_atom_site_label
_atom_site_type_symbol
_atom_site_fract_x
_atom_site_fract_y
_atom_site_fract_z
Ta1 Ta 0.7500 0.7500 0.7500
Ta2 Ta 0.2500 0.2500 0.2500
Ru1 Ru 0.5000 0.5000 0.5000
Y1 Y 0.0000 0.0000 0.0000

# 7
# YTa2Ru, relaxed, DFT GGA-PBE
# Excess energy over the best structure of this formula in the dataset: 166 meV/atom
# ΔH_f (0 K): 0.115 eV per atom
# Total magnetic moment: 0.000 Bohr magnetons per cell
# Total energy: -9.75 eV per atom
data_YTa2Ru
_symmetry_space_group_name_H-M 'P 1'
_symmetry_Int_Tables_number 1
_symmetry_space_group_name_Hall 'P 1'
_cell_length_a 4.1245
_cell_length_b 3.1340
_cell_length_c 6.5331
_cell_angle_alpha 72.70
_cell_angle_beta 90.00
_cell_angle_gamma 90.00
loop_
_atom_site_label
_atom_site_type_symbol
_atom_site_fract_x
_atom_site_fract_y
_atom_site_fract_z
Y1 Y 0.0000 0.5456 0.5186
Ta1 Ta 0.0000 0.9311 0.9891
Ta2 Ta 0.5000 0.2436 0.1977
Ru1 Ru 0.5000 0.7797 0.7946

# 8
# YTa2Ru, relaxed, DFT GGA-PBE
# Excess energy over the best structure of this formula in the dataset: 247 meV/atom
# ΔH_f (0 K): 0.197 eV per atom
# Total magnetic moment: 0.000 Bohr magnetons per cell
# Total energy: -9.66 eV per atom
data_YTa2Ru
_symmetry_space_group_name_H-M 'P 1'
_symmetry_Int_Tables_number 1
_symmetry_space_group_name_Hall 'P 1'
_cell_length_a 9.3668
_cell_length_b 9.3668
_cell_length_c 9.3668
_cell_angle_alpha 19.36
_cell_angle_beta 19.36
_cell_angle_gamma 19.36
loop_
_atom_site_label
_atom_site_type_symbol
_atom_site_fract_x
_atom_site_fract_y
_atom_site_fract_z
Ru1 Ru 0.7410 0.7410 0.7410
Ta1 Ta 0.0068 0.0068 0.0068
Ta2 Ta 0.2578 0.2578 0.2578
Y1 Y 0.4944 0.4944 0.4944

# 9
# YTa3Ru, relaxed, DFT GGA-PBE
# Excess energy over the best structure of this formula in the dataset: 0 meV/atom
# ΔH_f (0 K): 0.752 eV per atom
# Total magnetic moment: 0.000 Bohr magnetons per cell
# Total energy: -9.51 eV per atom
data_YTa3Ru
_symmetry_space_group_name_H-M 'P 1'
_symmetry_Int_Tables_number 1
_symmetry_space_group_name_Hall 'P 1'
_cell_length_a 4.8717
_cell_length_b 4.8717
_cell_length_c 4.8717
_cell_angle_alpha 90.00
_cell_angle_beta 90.00
_cell_angle_gamma 90.00
loop_
_atom_site_label
_atom_site_type_symbol
_atom_site_fract_x
_atom_site_fract_y
_atom_site_fract_z
Ta1 Ta 0.5000 0.0000 0.0000
Ta2 Ta 0.0000 0.5000 0.0000
Ta3 Ta 0.0000 0.0000 0.5000
Ru1 Ru 0.0000 0.0000 0.0000
Y1 Y 0.5000 0.5000 0.5000

# 10
# YbTaRu2, relaxed, DFT GGA-PBE
# ΔH_f (0 K): -0.257 eV per atom
# Total magnetic moment: 0.000 Bohr magnetons per cell
# Total energy: -8.24 eV per atom
data_YbTaRu2
_symmetry_space_group_name_H-M 'P 1'
_symmetry_Int_Tables_number 1
_symmetry_space_group_name_Hall 'P 1'
_cell_length_a 4.5409
_cell_length_b 4.5409
_cell_length_c 4.5400
_cell_angle_alpha 59.99
_cell_angle_beta 59.99
_cell_angle_gamma 59.99
loop_
_atom_site_label
_atom_site_type_symbol
_atom_site_fract_x
_atom_site_fract_y
_atom_site_fract_z
Ru1 Ru 0.0000 0.0000 0.0001
Ru2 Ru 0.5000 0.5000 0.4999
Yb1 Yb 0.2500 0.2500 0.2500
Ta1 Ta 0.7500 0.7500 0.7500

# 11
# Ta2ZnRu, relaxed, DFT GGA-PBE
# ΔH_f (0 K): -0.109 eV per atom
# Total magnetic moment: 0.000 Bohr magnetons per cell
# Total energy: -8.67 eV per atom
data_Ta2ZnRu
_symmetry_space_group_name_H-M 'P 1'
_symmetry_Int_Tables_number 1
_symmetry_space_group_name_Hall 'P 1'
_cell_length_a 4.0013
_cell_length_b 4.0029
_cell_length_c 3.9801
_cell_angle_alpha 90.00
_cell_angle_beta 90.00
_cell_angle_gamma 90.00
loop_
_atom_site_label
_atom_site_type_symbol
_atom_site_fract_x
_atom_site_fract_y
_atom_site_fract_z
Ta1 Ta 0.5000 0.5000 0.0000
Ta2 Ta 0.0000 0.0000 0.0000
Zn1 Zn 0.5000 0.0000 0.5000
Ru1 Ru 0.0000 0.5000 0.5000

# 12
# TaZnRu2, relaxed, DFT GGA-PBE
# ΔH_f (0 K): 0.398 eV per atom
# Total magnetic moment: 0.000 Bohr magnetons per cell
# Total energy: -7.52 eV per atom
data_TaZnRu2
_symmetry_space_group_name_H-M 'P 1'
_symmetry_Int_Tables_number 1
_symmetry_space_group_name_Hall 'P 1'
_cell_length_a 6.7992
_cell_length_b 6.7992
_cell_length_c 5.5897
_cell_angle_alpha 52.54
_cell_angle_beta 52.54
_cell_angle_gamma 90.00
loop_
_atom_site_label
_atom_site_type_symbol
_atom_site_fract_x
_atom_site_fract_y
_atom_site_fract_z
Zn1 Zn 0.5000 0.5000 0.0000
Zn2 Zn 0.2500 0.7500 0.5000
Ta1 Ta 0.7500 0.2500 0.5000
Ta2 Ta 0.0000 0.0000 0.0000
Ru1 Ru 0.3750 0.3694 0.7500
Ru2 Ru 0.8750 0.8806 0.7500
Ru3 Ru 0.1194 0.6250 0.2500
Ru4 Ru 0.6306 0.1250 0.2500

Copy entry 4 word for word.
# YTaRu3, relaxed, DFT GGA-PBE
# Excess energy over the best structure of this formula in the dataset: 0 meV/atom
# ΔH_f (0 K): 0.619 eV per atom
# Total magnetic moment: 0.000 Bohr magnetons per cell
# Total energy: -8.61 eV per atom
data_YTaRu3
_symmetry_space_group_name_H-M 'P 1'
_symmetry_Int_Tables_number 1
_symmetry_space_group_name_Hall 'P 1'
_cell_length_a 4.7320
_cell_length_b 4.7320
_cell_length_c 4.7320
_cell_angle_alpha 90.00
_cell_angle_beta 90.00
_cell_angle_gamma 90.00
loop_
_atom_site_label
_atom_site_type_symbol
_atom_site_fract_x
_atom_site_fract_y
_atom_site_fract_z
Ru1 Ru 0.0000 0.0000 0.5000
Ru2 Ru 0.0000 0.5000 0.0000
Ru3 Ru 0.5000 0.0000 0.0000
Ta1 Ta 0.0000 0.0000 0.0000
Y1 Y 0.5000 0.5000 0.5000